VASP calculation (GGA-PBE) on a relaxed structure of ReSiAsSe2.

Lattice parameters (Å, degrees): 4.614 4.614 4.605 90.00 90.00 90.00
Positions (direct):
Re1 0.000 0.000 0.000
Si1 0.500 0.500 0.500
As1 0.500 0.500 0.000
Se1 0.000 0.500 0.500
Se2 0.500 0.000 0.500

The density of states at the Fermi level comes out at 7.46 states/eV/f.u. For the uncorrected energy, the calculation gives -23.0 eV/f.u. For the uncorrected formation energy, the calculation gives 1.31 eV/atom. The magnetic moment is 0.00 μB/f.u.

VASP calculation (GGA-PBE) on a relaxed structure of Pu2OsBr.

Lattice parameters (Å, degrees): 3.330 3.330 8.147 90.00 90.00 90.00
Positions (direct):
Pu1 0.000 0.000 0.215
Pu2 0.000 0.000 0.785
Os1 0.500 0.500 0.000
Br1 0.500 0.500 0.500

The density of states at the Fermi level comes out at 11.67 states/eV/f.u. For the uncorrected energy, the calculation gives -43.5 eV/f.u. For the uncorrected formation energy, the calculation gives -0.48 eV/atom. The magnetic moment is 10.66 μB/f.u.

VASP calculation (GGA-PBE) on a relaxed structure of ScSb2.

Lattice parameters (Å, degrees): 8.748 8.748 5.656 90.00 90.00 158.39
Positions (direct):
Sc1 0.190 0.810 0.750
Sc2 0.810 0.190 0.250
Sb1 0.163 0.837 0.250
Sb2 0.462 0.538 0.250
Sb3 0.538 0.462 0.750
Sb4 0.837 0.163 0.750

The density of states at the Fermi level comes out at 1.83 states/eV/f.u. For the uncorrected energy, the calculation gives -15.8 eV/f.u. For the uncorrected formation energy, the calculation gives -0.41 eV/atom. The magnetic moment is 0.00 μB/f.u.